# 1
Material: NaI2O6
Method: DFT, PBE
State: optimized geometry

Summary:
**Formation energy from raw total energies**: -510 meV per atom
**E**: -38.757 eV per formula unit
**DOS(E_F)**: 0.156 states/eV per atom

a = 3.954 Å, b = 5.663 Å, c = 7.611 Å
α = 71.89°, β = 74.94°, γ = 69.57°
Sites, in units of the cell vectors:
O 0.967 0.856 0.211
O 0.335 0.722 0.608
O 0.691 0.720 0.898
O 0.033 0.144 0.789
I 0.186 0.793 0.836
Na 0.000 0.500 0.500
O 0.665 0.278 0.392
O 0.309 0.280 0.102
I 0.814 0.207 0.164

# 2
Material: NaIO3
Method: DFT, PBE
State: optimized geometry

Summary:
**Formation energy from raw total energies**: 100 meV per atom
**E**: -17.241 eV per formula unit
**DOS(E_F)**: 0.771 states/eV per atom

a = 4.612 Å, b = 4.612 Å, c = 6.432 Å
α = 90.00°, β = 90.00°, γ = 129.34°
Site moments in Bohr magnetons follow the coordinates.
Sites, in units of the cell vectors:
I 0.500 0.500 0.500  0.23
O 0.000 0.000 0.500  0.26
O 0.000 0.500 0.000  0.64
Na 0.000 0.000 0.000  0.00
O 0.500 0.000 0.000  0.64

Number 2 is which compound?
NaIO3

Which of these has the highest E?
NaIO3